No. 1
Compound: NaMgOs
Source: the Open Quantum Materials Database
Functional: PBE
Structure: relaxed

Cell: 4.5112 4.5112 4.5112 Å, 60.00 60.00 60.00°
Sites, in units of the cell vectors:
Na1 0.0000 0.0000 0.0000
Mg1 0.7500 0.7500 0.7500
Os1 0.2500 0.2500 0.2500

Calculated values
- Magnetization: 0.562 μB per atom
- Excess energy over the best structure of this formula in the dataset: 265.7 meV per atom
- Calculated density: 6.076 g/cm³

=====

No. 2
Compound: NaMgReOs
Source: the Open Quantum Materials Database
Functional: PBE
Structure: relaxed

Cell: 4.4384 4.4384 4.4384 Å, 60.00 60.00 60.00°
Sites, in units of the cell vectors:
Na1 0.0000 0.0000 0.0000
Mg1 0.7500 0.7500 0.7500
Re1 0.2500 0.2500 0.2500
Os1 0.5000 0.5000 0.5000

Calculated values
- Magnetization: 0.000 μB per atom
- Excess energy over the best structure of this formula in the dataset: 0.0 meV per atom
- Calculated density: 11.381 g/cm³

=====

No. 3
Compound: NaMgReOs
Source: the Open Quantum Materials Database
Functional: PBE
Structure: relaxed

Cell: 4.4466 4.4466 4.4466 Å, 60.00 60.00 60.00°
Sites, in units of the cell vectors:
Na1 0.0000 0.0000 0.0000
Mg1 0.2500 0.2500 0.2500
Re1 0.5000 0.5000 0.5000
Os1 0.7500 0.7500 0.7500

Calculated values
- Magnetization: 0.000 μB per atom
- Excess energy over the best structure of this formula in the dataset: 57.2 meV per atom
- Calculated density: 11.318 g/cm³

=====

No. 4
Compound: NaMgTcOs
Source: the Open Quantum Materials Database
Functional: PBE
Structure: relaxed

Cell: 4.4482 4.4482 4.4482 Å, 60.00 60.00 60.00°
Sites, in units of the cell vectors:
Na1 0.0000 0.0000 0.0000
Mg1 0.7500 0.7500 0.7500
Tc1 0.2500 0.2500 0.2500
Os1 0.5000 0.5000 0.5000

Calculated values
- Magnetization: 0.001 μB per atom
- Excess energy over the best structure of this formula in the dataset: 0.0 meV per atom
- Calculated density: 8.952 g/cm³